Density functional theory data (SCAN) for a PBEsol-optimized structure of YAg2As.

Unit cell a=5.5767 b=5.5767 c=5.5767 alpha=137.36 beta=137.36 gamma=61.89
Last column: nearest neighbours and their distance in Å.
Fractional positions:
Y1 0.0000 0.0000 0.0000  4 As 2.87, 8 Ag 3.14
Ag1 0.2500 0.7500 0.5000  4 Ag 2.87, 4 As 3.14, 4 Y 3.14
Ag2 0.7500 0.2500 0.5000  4 Ag 2.87, 4 As 3.14, 4 Y 3.14
As1 0.5000 0.5000 0.0000  4 Y 2.87, 8 Ag 3.14

Computed properties:
total energy	-28.20	eV per atom
formation enthalpy at 0 K	-0.51	eV per atom



Density functional theory data (SCAN) for a PBEsol-optimized structure of YAgAs.

Unit cell a=4.3073 b=4.3073 c=3.8693 alpha=90.00 beta=90.00 gamma=120.00
Last column: nearest neighbours and their distance in Å.
Fractional positions:
Y1 0.0000 0.0000 0.0000  6 As 3.15-3.16, 6 Ag 3.15-3.16
Ag1 0.3333 0.6667 0.5022  3 As 2.49
As1 0.6667 0.3333 0.4976  3 Ag 2.49

Computed properties:
total energy	-27.28	eV per atom
formation enthalpy at 0 K	-0.81	eV per atom